Below is crystalline AlCdCu2Au4 at its relaxed geometry, with properties calculated at the PBE level.

a b c (Å): 4.5488 4.5488 22.0800
angles (deg): 90.00 90.00 120.00
Last column: nearest neighbours and their distance in Å.
Space group R-3m (No. 166, hexagonal axes)
Symmetry-distinct sites (fractional):
Al  0.0000  0.0000  0.0000  8 Au 2.59-2.74
Cd  0.0000  0.0000  0.5000  8 Au 2.85-2.90, 6 Cu 3.14
Cu  0.0000  0.0000  0.2450  8 Au 2.70-2.88
Au  0.0000  0.0000  0.1171  1 Al 2.59, 4 Cu 2.70-2.82, 3 Cd 2.85
Au  0.0000  0.0000  0.3685  4 Cu 2.73-2.88, 3 Al 2.74, 1 Cd 2.90, 3 Au 3.05

Output
E_form = -172.6 meV/atom
Magnetization = 0.00 μB per formula unit